(1)
Computed, not measured: crystalline BaLa2Ga at its relaxed geometry at the PBE level of DFT.

a = 5.168 Å, b = 5.168 Å, c = 7.336 Å
α = 69.38°, β = 69.38°, γ = 60.00°
Atoms (fractional coordinates):
Ba (0.494, 0.494, 0.517)
La (0.048, 0.048, 0.856)
La (0.281, 0.281, 0.157)
Ga (0.677, 0.677, 0.970)

Properties
**Energy of formation from the pure elements**: -0.081 eV/atom
**Magnetization**: 0.000 μB/atom
**D(E_F)**: 1.508 states/eV/atom

***

(2)
Computed, not measured: crystalline Ba2La2Ga at its relaxed geometry at the PBE level of DFT.

a = 8.111 Å, b = 8.111 Å, c = 6.220 Å
α = 90.00°, β = 90.00°, γ = 90.00°
Atoms (fractional coordinates):
Ba (0.178, 0.678, 0.500)
Ba (0.678, 0.822, 0.500)
Ba (0.822, 0.322, 0.500)
Ba (0.322, 0.178, 0.500)
Ga (0.000, 0.000, 0.000)
Ga (0.500, 0.500, 0.000)
La (0.367, 0.867, 0.000)
La (0.867, 0.633, 0.000)
La (0.633, 0.133, 0.000)
La (0.133, 0.367, 0.000)

Properties
**Energy of formation from the pure elements**: 0.074 eV/atom
**Magnetization**: 0.000 μB/atom
**D(E_F)**: 1.985 states/eV/atom

***

(3)
Computed, not measured: crystalline BaLaGa at its relaxed geometry at the PBE level of DFT.

a = 4.235 Å, b = 13.662 Å, c = 3.929 Å
α = 73.33°, β = 90.00°, γ = 90.00°
Atoms (fractional coordinates):
Ba (0.419, 0.435, 0.340)
Ba (0.919, 0.729, 0.545)
Ga (0.420, 0.893, 0.881)
Ga (0.920, 0.270, 0.004)
La (0.920, 0.997, 0.278)
La (0.420, 0.167, 0.607)

Properties
**Energy of formation from the pure elements**: -0.324 eV/atom
**Magnetization**: 0.000 μB/atom
**Offset from the most stable computed form**: 17 meV per atom
**D(E_F)**: 0.935 states/eV/atom

***

(4)
Computed, not measured: crystalline BaLa2Ga2 at its relaxed geometry at the PBE level of DFT.

a = 9.216 Å, b = 9.216 Å, c = 3.573 Å
α = 90.00°, β = 90.00°, γ = 90.00°
Atoms (fractional coordinates):
Ba (0.000, 0.000, 0.000)
Ba (0.500, 0.500, 0.000)
Ga (0.173, 0.673, 0.500)
Ga (0.673, 0.827, 0.500)
Ga (0.827, 0.327, 0.500)
Ga (0.327, 0.173, 0.500)
La (0.379, 0.879, 0.000)
La (0.879, 0.621, 0.000)
La (0.621, 0.121, 0.000)
La (0.121, 0.379, 0.000)

Properties
**Energy of formation from the pure elements**: -0.360 eV/atom
**Magnetization**: 0.000 μB/atom
**Offset from the most stable computed form**: 0 meV per atom
**D(E_F)**: 1.643 states/eV/atom

***

(5)
Computed, not measured: crystalline BaLaGa at its relaxed geometry at the PBE level of DFT.

a = 9.250 Å, b = 5.327 Å, c = 5.319 Å
α = 59.91°, β = 73.30°, γ = 89.99°
Atoms (fractional coordinates):
Ba (0.232, 0.968, 0.823)
Ba (0.976, 0.550, 0.662)
Ga (0.446, 0.706, 0.347)
Ga (0.762, 0.812, 0.138)
La (0.697, 0.123, 0.514)
La (0.512, 0.395, 0.970)

Properties
**Energy of formation from the pure elements**: -0.302 eV/atom
**Magnetization**: 0.000 μB/atom
**Offset from the most stable computed form**: 38 meV per atom
**D(E_F)**: 0.220 states/eV/atom

***

(6)
Computed, not measured: crystalline BaLa2Ga2 at its relaxed geometry at the PBE level of DFT.

a = 5.475 Å, b = 5.475 Å, c = 7.233 Å
α = 67.76°, β = 67.76°, γ = 90.00°
Atoms (fractional coordinates):
Ba (0.000, 0.000, 0.000)
Ga (0.750, 0.250, 0.500)
Ga (0.250, 0.750, 0.500)
La (0.347, 0.347, 0.306)
La (0.653, 0.653, 0.694)

Properties
**Energy of formation from the pure elements**: -0.196 eV/atom
**Magnetization**: 0.001 μB/atom
**Offset from the most stable computed form**: 164 meV per atom
**D(E_F)**: 0.689 states/eV/atom

***

(7)
Computed, not measured: crystalline BaLaGa at its relaxed geometry at the PBE level of DFT.

a = 9.358 Å, b = 4.094 Å, c = 5.756 Å
α = 90.00°, β = 90.11°, γ = 77.35°
Atoms (fractional coordinates):
Ba (0.243, 0.815, 0.523)
Ba (0.966, 0.953, 0.021)
Ga (0.300, 0.287, 0.023)
Ga (0.909, 0.482, 0.521)
La (0.554, 0.659, 0.022)
La (0.655, 0.108, 0.522)

Properties
**Energy of formation from the pure elements**: -0.251 eV/atom
**Magnetization**: 0.000 μB/atom
**Offset from the most stable computed form**: 90 meV per atom
**D(E_F)**: 0.958 states/eV/atom

***

(8)
Computed, not measured: crystalline BaLaGa at its relaxed geometry at the PBE level of DFT.

a = 8.890 Å, b = 5.279 Å, c = 5.279 Å
α = 90.00°, β = 72.79°, γ = 107.22°
Atoms (fractional coordinates):
Ba (0.977, 0.696, 0.565)
Ba (0.232, 0.324, 0.937)
Ga (0.385, 0.901, 0.360)
Ga (0.823, 0.120, 0.142)
La (0.604, 0.510, 0.251)
La (0.604, 0.010, 0.751)

Properties
**Energy of formation from the pure elements**: -0.317 eV/atom
**Magnetization**: 0.000 μB/atom
**Offset from the most stable computed form**: 24 meV per atom
**D(E_F)**: 0.550 states/eV/atom

***

(9)
Computed, not measured: crystalline BaLaGa at its relaxed geometry at the PBE level of DFT.

a = 7.839 Å, b = 3.808 Å, c = 7.404 Å
α = 89.98°, β = 90.00°, γ = 89.99°
Atoms (fractional coordinates):
Ba (0.169, 0.593, 0.765)
Ba (0.039, 0.593, 0.265)
Ga (0.381, 0.092, 0.100)
Ga (0.827, 0.092, 0.600)
La (0.645, 0.592, 0.889)
La (0.563, 0.592, 0.389)

Properties
**Energy of formation from the pure elements**: -0.210 eV/atom
**Magnetization**: 0.000 μB/atom
**Offset from the most stable computed form**: 131 meV per atom
**D(E_F)**: 1.360 states/eV/atom

***

(10)
Computed, not measured: crystalline BaLaGa at its relaxed geometry at the PBE level of DFT.

a = 7.481 Å, b = 3.940 Å, c = 8.020 Å
α = 89.99°, β = 75.32°, γ = 74.76°
Atoms (fractional coordinates):
Ba (0.150, 0.008, 0.666)
Ba (0.724, 0.722, 0.045)
Ga (0.438, 0.364, 0.855)
Ga (0.437, 0.365, 0.356)
La (0.213, 0.977, 0.164)
La (0.663, 0.752, 0.546)

Properties
**Energy of formation from the pure elements**: -0.232 eV/atom
**Magnetization**: 0.000 μB/atom
**Offset from the most stable computed form**: 109 meV per atom
**D(E_F)**: 1.247 states/eV/atom

***

(11)
Computed, not measured: crystalline BaLaGa at its relaxed geometry at the PBE level of DFT.

a = 7.841 Å, b = 4.018 Å, c = 7.567 Å
α = 89.99°, β = 90.00°, γ = 75.15°
Atoms (fractional coordinates):
Ba (0.152, 0.466, 0.424)
Ba (0.056, 0.515, 0.924)
Ga (0.382, 0.852, 0.719)
Ga (0.827, 0.130, 0.219)
La (0.545, 0.771, 0.111)
La (0.664, 0.210, 0.611)

Properties
**Energy of formation from the pure elements**: -0.181 eV/atom
**Magnetization**: 0.000 μB/atom
**Offset from the most stable computed form**: 160 meV per atom
**D(E_F)**: 0.844 states/eV/atom

***

(12)
Computed, not measured: crystalline BaLaGa at its relaxed geometry at the PBE level of DFT.

a = 8.809 Å, b = 7.025 Å, c = 3.766 Å
α = 74.42°, β = 90.03°, γ = 71.63°
Atoms (fractional coordinates):
Ba (0.004, 0.171, 0.295)
Ba (0.204, 0.597, 0.582)
Ga (0.346, 0.965, 0.898)
Ga (0.862, 0.803, 0.979)
La (0.627, 0.652, 0.554)
La (0.582, 0.116, 0.323)

Properties
**Energy of formation from the pure elements**: -0.265 eV/atom
**Magnetization**: 0.000 μB/atom
**Offset from the most stable computed form**: 76 meV per atom
**D(E_F)**: 1.073 states/eV/atom